(1)
The following is a PBE-GGA calculation of a relaxed structure of Mg8Sn2Hg3, from Alexandria.

Values from the calculation:
uncorrected energy = -23.6 eV/f.u.
mass density = 5.4 g/cm³
N(E_F) = 3.80 states/eV/cell
size of the total moment = 0.00 Bohr magnetons per cell
energy relative to the elements = -0.15 eV/atom
space-group type = Cmmm

The structure in POSCAR format:
```
Mg8Sn2Hg3
1.0
4.718 -7.151 0.000
4.718 7.151 0.000
0.000 0.000 4.735
Mg Sn Hg
8 2 3
direct
0.120 0.880 0.000
0.124 0.374 0.500
0.368 0.632 0.000
0.374 0.124 0.500
0.626 0.876 0.500
0.632 0.368 0.000
0.876 0.626 0.500
0.880 0.120 0.000
0.243 0.757 0.500
0.757 0.243 0.500
0.245 0.245 0.000
0.500 0.500 0.500
0.755 0.755 0.000
```

***

(2)
The following is a PBE-GGA calculation of a relaxed structure of Mg2Sn3Hg3, from Alexandria.

Values from the calculation:
uncorrected energy = -16.4 eV/f.u.
mass density = 8.4 g/cm³
N(E_F) = 2.48 states/eV/cell
size of the total moment = 0.00 Bohr magnetons per cell
energy relative to the elements = -0.04 eV/atom
space-group type = P-62m

The structure in POSCAR format:
```
Mg2Sn3Hg3
1.0
8.109 0.000 0.000
-4.055 7.023 0.000
0.000 0.000 3.481
Mg Sn Hg
2 3 3
direct
0.333 0.667 0.000
0.667 0.333 0.000
0.000 0.775 0.000
0.225 0.225 0.000
0.775 0.000 0.000
0.000 0.403 0.500
0.403 0.000 0.500
0.597 0.597 0.500
```

***

(3)
The following is a PBE-GGA calculation of a relaxed structure of Mg5SnHg3, from Alexandria.

Values from the calculation:
uncorrected energy = -14.3 eV/f.u.
mass density = 6.9 g/cm³
N(E_F) = 7.31 states/eV/cell
size of the total moment = 0.00 Bohr magnetons per cell
energy relative to the elements = -0.16 eV/atom
space-group type = P6_3/mcm

The structure in POSCAR format:
```
Mg5SnHg3
1.0
8.703 0.000 0.000
-4.351 7.537 0.000
0.000 0.000 6.141
Mg Sn Hg
10 2 6
direct
0.000 0.310 0.250
0.000 0.690 0.750
0.310 0.000 0.250
0.310 0.310 0.750
0.333 0.667 0.000
0.333 0.667 0.500
0.667 0.333 0.000
0.667 0.333 0.500
0.690 0.000 0.750
0.690 0.690 0.250
0.000 0.000 0.000
0.000 0.000 0.500
0.000 0.368 0.750
0.000 0.632 0.250
0.368 0.000 0.750
0.368 0.368 0.250
0.632 0.000 0.250
0.632 0.632 0.750
```

***

(4)
The following is a PBE-GGA calculation of a relaxed structure of Mg3SnHg2, from Alexandria.

Values from the calculation:
uncorrected energy = -10.5 eV/f.u.
mass density = 7.4 g/cm³
N(E_F) = 1.92 states/eV/cell
size of the total moment = 0.00 Bohr magnetons per cell
energy relative to the elements = -0.19 eV/atom
space-group type = Cmmm

The structure in POSCAR format:
```
Mg3SnHg2
1.0
2.516 -7.716 0.000
2.516 7.716 0.000
0.000 0.000 3.447
Mg Sn Hg
3 1 2
direct
0.000 0.000 0.000
0.328 0.672 0.000
0.672 0.328 0.000
0.500 0.500 0.500
0.165 0.835 0.500
0.835 0.165 0.500
```

***

(5)
The following is a PBE-GGA calculation of a relaxed structure of Mg3SnHg4, from Alexandria.

Values from the calculation:
uncorrected energy = -11.0 eV/f.u.
mass density = 9.1 g/cm³
N(E_F) = 2.18 states/eV/cell
size of the total moment = 0.00 Bohr magnetons per cell
energy relative to the elements = -0.13 eV/atom
space-group type = P4/mmm

The structure in POSCAR format:
```
Mg3SnHg4
1.0
4.890 0.000 0.000
0.000 4.890 0.000
0.000 0.000 7.626
Mg Sn Hg
3 1 4
direct
0.000 0.000 0.000
0.000 0.000 0.500
0.500 0.500 0.000
0.500 0.500 0.500
0.000 0.500 0.237
0.000 0.500 0.763
0.500 0.000 0.237
0.500 0.000 0.763
```

***

(6)
The following is a PBE-GGA calculation of a relaxed structure of Mg5SnHg2, from Alexandria.

Values from the calculation:
uncorrected energy = -13.8 eV/f.u.
mass density = 5.8 g/cm³
N(E_F) = 7.04 states/eV/cell
size of the total moment = 0.00 Bohr magnetons per cell
energy relative to the elements = -0.16 eV/atom
space-group type = I4/mcm

The structure in POSCAR format:
```
Mg5SnHg2
1.0
-3.760 3.760 6.462
3.760 -3.760 6.462
3.760 3.760 -6.462
Mg Sn Hg
10 2 4
direct
0.000 0.000 0.000
0.005 0.505 0.199
0.195 0.995 0.500
0.305 0.805 0.801
0.495 0.695 0.500
0.500 0.500 0.000
0.505 0.305 0.500
0.695 0.195 0.199
0.805 0.005 0.500
0.995 0.495 0.801
0.250 0.250 0.000
0.750 0.750 0.000
0.148 0.352 0.500
0.352 0.852 0.203
0.648 0.148 0.797
0.852 0.648 0.500
```

***

(7)
The following is a PBE-GGA calculation of a relaxed structure of Mg8SnHg2, from Alexandria.

Values from the calculation:
uncorrected energy = -18.8 eV/f.u.
mass density = 4.8 g/cm³
N(E_F) = 3.48 states/eV/cell
size of the total moment = 0.00 Bohr magnetons per cell
energy relative to the elements = -0.13 eV/atom
space-group type = Immm

The structure in POSCAR format:
```
Mg8SnHg2
1.0
-2.352 3.723 7.058
2.352 -3.723 7.058
2.352 3.723 -7.058
Mg Sn Hg
8 1 2
direct
0.116 0.339 0.777
0.156 0.156 0.000
0.296 0.000 0.296
0.438 0.661 0.777
0.562 0.339 0.223
0.704 0.000 0.704
0.844 0.844 0.000
0.884 0.661 0.223
0.000 0.500 0.500
0.317 0.817 0.500
0.683 0.183 0.500
```

***

(8)
The following is a PBE-GGA calculation of a relaxed structure of MgSn2Hg2, from Alexandria.

Values from the calculation:
uncorrected energy = -9.7 eV/f.u.
mass density = 8.0 g/cm³
N(E_F) = 1.97 states/eV/cell
size of the total moment = 0.00 Bohr magnetons per cell
energy relative to the elements = 0.10 eV/atom
space-group type = I4/mmm

The structure in POSCAR format:
```
MgSn2Hg2
1.0
-2.107 2.107 7.795
2.107 -2.107 7.795
2.107 2.107 -7.795
Mg Sn Hg
1 2 2
direct
0.000 0.000 0.000
0.250 0.750 0.500
0.750 0.250 0.500
0.408 0.408 0.000
0.592 0.592 0.000
```

***

(9)
The following is a PBE-GGA calculation of a relaxed structure of Mg5SnHg2, from Alexandria.

Values from the calculation:
uncorrected energy = -13.9 eV/f.u.
mass density = 5.9 g/cm³
N(E_F) = 4.23 states/eV/cell
size of the total moment = 0.00 Bohr magnetons per cell
energy relative to the elements = -0.17 eV/atom
space-group type = Pbam

The structure in POSCAR format:
```
Mg5SnHg2
1.0
6.375 0.000 0.000
0.000 12.213 0.000
0.000 0.000 4.654
Mg Sn Hg
10 2 4
direct
0.000 0.000 0.000
0.139 0.262 0.000
0.171 0.608 0.500
0.329 0.108 0.500
0.361 0.762 0.000
0.500 0.500 0.000
0.639 0.238 0.000
0.671 0.892 0.500
0.829 0.392 0.500
0.861 0.738 0.000
0.000 0.500 0.000
0.500 0.000 0.000
0.111 0.847 0.500
0.389 0.347 0.500
0.611 0.653 0.500
0.889 0.153 0.500
```

***

(10)
The following is a PBE-GGA calculation of a relaxed structure of Mg3SnHg4, from Alexandria.

Values from the calculation:
uncorrected energy = -9.7 eV/f.u.
mass density = 7.5 g/cm³
N(E_F) = 4.55 states/eV/cell
size of the total moment = 0.00 Bohr magnetons per cell
energy relative to the elements = 0.04 eV/atom
space-group type = P-43m

The structure in POSCAR format:
```
Mg3SnHg4
1.0
6.038 0.000 0.000
0.000 6.038 0.000
0.000 0.000 6.038
Mg Sn Hg
3 1 4
direct
0.000 0.000 0.500
0.000 0.500 0.000
0.500 0.000 0.000
0.000 0.000 0.000
0.319 0.319 0.319
0.319 0.681 0.681
0.681 0.319 0.681
0.681 0.681 0.319
```

***

(11)
The following is a PBE-GGA calculation of a relaxed structure of Mg4SnHg3, from Alexandria.

Values from the calculation:
uncorrected energy = -12.8 eV/f.u.
mass density = 7.7 g/cm³
N(E_F) = 2.27 states/eV/cell
size of the total moment = 0.00 Bohr magnetons per cell
energy relative to the elements = -0.19 eV/atom
space-group type = P4/mmm

The structure in POSCAR format:
```
Mg4SnHg3
1.0
3.509 0.000 0.000
0.000 3.509 0.000
0.000 0.000 14.338
Mg Sn Hg
4 1 3
direct
0.000 0.000 0.118
0.000 0.000 0.360
0.000 0.000 0.640
0.000 0.000 0.882
0.500 0.500 0.500
0.500 0.500 0.000
0.500 0.500 0.241
0.500 0.500 0.759
```

***

(12)
The following is a PBE-GGA calculation of a relaxed structure of Mg7SnHg3, from Alexandria.

Values from the calculation:
uncorrected energy = -17.2 eV/f.u.
mass density = 5.7 g/cm³
N(E_F) = 3.22 states/eV/cell
size of the total moment = 0.00 Bohr magnetons per cell
energy relative to the elements = -0.11 eV/atom
space-group type = C2/m

The structure in POSCAR format:
```
Mg7SnHg3
1.0
5.230 -5.298 0.000
5.230 5.298 0.000
-2.875 0.000 4.684
Mg Sn Hg
7 1 3
direct
0.000 0.000 0.000
0.103 0.546 0.324
0.323 0.323 0.824
0.454 0.897 0.676
0.546 0.103 0.324
0.677 0.677 0.176
0.897 0.454 0.676
0.000 0.000 0.500
0.269 0.731 0.000
0.500 0.500 0.500
0.731 0.269 0.000
```

***

- Among the records above, which one has the lowest N(E_F)?
  Mg3SnHg2

***

- Which value of mass density does entry 8 give?
  8.0 g/cm³

***

- What is the formula in the ninth record?
  Mg5SnHg2